{
  "formula": "Cs2DyRuO6",
  "functional": "PBE",
  "state": "relaxed",
  "lattice_angstrom": [[6.632, 0.000, 0.000], [-3.316, 5.744, 0.000], [0.000, 0.000, 5.731]],
  "species": ["Cs", "Cs", "Dy", "Ru", "O", "O", "O", "O", "O", "O"],
  "frac_coords": [[0.333, 0.667, 0.150], [0.667, 0.333, 0.850], [0.000, 0.000, 0.500], [0.000, 0.000, 0.000], [0.133, 0.265, 0.794], [0.133, 0.867, 0.794], [0.265, 0.133, 0.206], [0.735, 0.867, 0.794], [0.867, 0.133, 0.206], [0.867, 0.735, 0.206]],
  "crystal_system": "trigonal",
  "magmom_total_mub_per_cell": 1.041,
  "e_form_raw_mev_per_atom": -1609
}